A relaxed structure of HoSi2Pd, computed with PBE.

Values from the calculation:
For the total energy, the calculation gives -23.3 eV/f.u. Its crystal system is orthorhombic.

Cell lengths 4.0367, 6.1793, 5.5689 Å; angles 90.00, 90.00, 90.00 degrees
With the nearest neighbours (Å) after each atom.
Space group Pmn2_1 (No. 31)
Asymmetric unit:
1 Ho 0.0000 0.0889 0.0000  7 Si 2.88-3.09, 2 Pd 3.18
2 Si 0.0000 0.2562 0.4984  3 Pd 2.54-2.60, 3 Si 2.58-2.76
3 Si 0.0000 0.6519 0.2689  4 Pd 2.54-2.82, 3 Si 2.58-2.76
4 Pd 0.0000 0.5976 0.7722  7 Si 2.54-2.82